Computed, not measured: a crystal of HgBSeBr2 relaxed with PBEsol at the SCAN level of DFT.

Results
Calculated volume, Å³/atom: 29.93
Formation energy without anion corrections, eV per atom: 1.123
Total DFT energy (no corrections), eV per atom: -25.80
Theoretical density, g/cm³: 4.99
Total moment, μB/cell: 0.00

Lattice parameters (Å, degrees): 5.374 5.374 5.183 90.00 90.00 90.00
Space group P4/mmm (No. 123)
Asymmetric unit:
1 Hg 0.000 0.000 0.000
2 B 0.500 0.500 0.500
3 Se 0.000 0.000 0.500
4 Br 0.000 0.500 0.000